Entry 1:
PrSmSn2Pt4 | GGA-PBE | relaxed

Computed properties:
- Electronic total energy: -6.162 eV per atom

Lattice parameters (Å, degrees): 4.616 4.616 9.327 90.00 90.00 120.00
Fractional coordinates of all 8 atoms:
Pr 0.000 0.000 0.000
Sm 0.333 0.667 0.500
Sn 0.667 0.333 0.253
Sn 0.667 0.333 0.747
Pt 0.000 0.000 0.341
Pt 0.000 0.000 0.659
Pt 0.333 0.667 0.167
Pt 0.333 0.667 0.833

Entry 2:
NaAlOs | GGA-PBE | relaxed

Computed properties:
- Distance to the lowest polymorph of the same formula: 0.462 eV/atom

Lattice parameters (Å, degrees): 4.294 4.294 4.294 60.00 60.00 60.00
Fractional coordinates of all 3 atoms:
Na 0.000 0.000 0.000
Al 0.250 0.250 0.250
Os 0.500 0.500 0.500

Entry 3:
TbCu | GGA-PBE | relaxed

Computed properties:
- Energy relative to the elements: 508.1 meV/atom

Lattice parameters (Å, degrees): 4.384 4.384 4.384 60.00 60.00 60.00
Fractional coordinates of all 2 atoms:
Tb 0.000 0.000 0.000
Cu 0.250 0.250 0.250

Entry 4:
YTlCuAu | GGA-PBE | relaxed

Computed properties:
- Distance to the lowest polymorph of the same formula: 0.077 eV/atom

Lattice parameters (Å, degrees): 4.903 4.903 4.903 60.00 60.00 60.00
Fractional coordinates of all 4 atoms:
Y 0.000 0.000 0.000
Tl 0.250 0.250 0.250
Cu 0.500 0.500 0.500
Au 0.750 0.750 0.750

Entry 5:
BaZn3Pt | GGA-PBE | relaxed

Computed properties:
- Distance to the lowest polymorph of the same formula: 0.000 eV/atom

Lattice parameters (Å, degrees): 6.900 6.900 6.900 124.06 90.80 115.21
Fractional coordinates of all 10 atoms:
Ba 0.339 0.089 0.250
Ba 0.661 0.911 0.750
Zn 0.165 0.415 0.750
Zn 0.201 0.000 0.701
Zn 0.201 0.500 0.201
Zn 0.799 0.000 0.299
Zn 0.799 0.500 0.799
Zn 0.835 0.585 0.250
Pt 0.000 0.500 0.500
Pt 0.500 0.500 0.000

Entry 6:
La2Re2B5Os | GGA-PBE | relaxed

Computed properties:
- Electronic total energy: -8.366 eV per atom

Lattice parameters (Å, degrees): 5.817 5.817 8.315 123.90 123.90 41.00
Fractional coordinates of all 10 atoms:
La 0.168 0.168 0.267
La 0.832 0.832 0.733
Re 0.390 0.345 0.098
Re 0.655 0.610 0.902
B 0.156 0.131 0.809
B 0.264 0.693 0.383
B 0.307 0.736 0.617
B 0.502 0.498 0.000
B 0.869 0.844 0.191
Os 0.792 0.208 0.500

Entry 7:
TmBiAsO5 | GGA-PBE | relaxed

Computed properties:
- Distance to the lowest polymorph of the same formula: 0.000 eV/atom

Lattice parameters (Å, degrees): 5.703 6.739 6.776 70.14 87.70 69.17
Fractional coordinates of all 16 atoms:
Tm 0.068 0.215 0.129
Tm 0.932 0.785 0.871
Bi 0.447 0.548 0.258
Bi 0.553 0.452 0.742
As 0.268 0.089 0.664
As 0.732 0.911 0.336
O 0.025 0.144 0.821
O 0.194 0.279 0.412
O 0.221 0.448 0.920
O 0.269 0.830 0.672
O 0.455 0.924 0.231
O 0.545 0.076 0.769
O 0.731 0.170 0.328
O 0.779 0.552 0.080
O 0.806 0.721 0.588
O 0.975 0.856 0.179

Entry 8:
NdAsPtO | GGA-PBE | relaxed

Computed properties:
- Electronic total energy: -6.410 eV per atom

Lattice parameters (Å, degrees): 3.634 7.952 5.626 90.00 90.00 90.00
Fractional coordinates of all 8 atoms:
Nd 0.000 0.193 0.000
Nd 0.000 0.807 0.500
As 0.000 0.423 0.490
As 0.000 0.577 0.990
Pt 0.500 0.223 0.523
Pt 0.500 0.777 0.023
O 0.500 0.047 0.085
O 0.500 0.953 0.585

Entry 9:
HfAlAgPt | GGA-PBE | relaxed

Computed properties:
- Distance to the lowest polymorph of the same formula: 0.000 eV/atom

Lattice parameters (Å, degrees): 4.598 4.598 4.598 60.00 60.00 60.00
Fractional coordinates of all 4 atoms:
Hf 0.000 0.000 0.000
Al 0.500 0.500 0.500
Ag 0.250 0.250 0.250
Pt 0.750 0.750 0.750

Entry 10:
Li2YPd | GGA-PBE | relaxed

Computed properties:
- Electronic total energy: -4.192 eV per atom

Lattice parameters (Å, degrees): 4.739 4.739 4.739 60.00 60.00 60.00
Fractional coordinates of all 4 atoms:
Li 0.000 0.000 0.000
Li 0.250 0.250 0.250
Y 0.750 0.750 0.750
Pd 0.500 0.500 0.500

Entry 11:
Zn2TcPd | GGA-PBE | relaxed

Computed properties:
- Energy relative to the elements: 85.0 meV/atom

Lattice parameters (Å, degrees): 4.382 4.382 4.382 60.00 60.00 60.00
Fractional coordinates of all 4 atoms:
Zn 0.000 0.000 0.000
Zn 0.250 0.250 0.250
Tc 0.750 0.750 0.750
Pd 0.500 0.500 0.500

Entry 12:
Dy2Tm4LuNi2Te2 | GGA-PBE | relaxed

Computed properties:
- Distance to the lowest polymorph of the same formula: 0.001 eV/atom

Lattice parameters (Å, degrees): 9.255 9.255 9.255 156.21 67.34 118.06
Fractional coordinates of all 11 atoms:
Dy 0.134 0.000 0.134
Dy 0.866 0.000 0.866
Tm 0.112 0.797 0.315
Tm 0.482 0.797 0.685
Tm 0.501 0.146 0.354
Tm 0.792 0.146 0.646
Lu 0.420 0.420 0.000
Ni 0.255 0.489 0.765
Ni 0.724 0.489 0.235
Te 0.156 0.656 0.500
Te 0.755 0.755 0.000